1.
Compound: Np2AgF8
Source: Alexandria via LeMat-Bulk
Functional: GGA-PBE
Structure: optimized geometry

Cell and atoms, written as extended XYZ:
```
11
Lattice="5.765 -3.705 0.000 5.765 3.705 0.000 -1.275 0.000 3.914" Properties=species:S:1:pos:R:3 pbc="T T T"
Np 1.491 0.000 1.611
Np 8.765 0.000 2.303
Ag 5.765 0.000 0.000
F -0.360 0.000 3.145
F 3.416 1.488 2.287
F 3.215 0.000 0.023
F 6.839 1.488 1.627
F 3.416 -1.488 2.287
F 7.041 0.000 3.891
F 6.839 -1.488 1.627
F 10.615 0.000 0.769
```

## Properties
N(E_F) = 11.87 states/eV/cell
M_tot = 0.636 μB/atom


2.
Compound: Np2AgF8
Source: Alexandria via LeMat-Bulk
Functional: GGA-PBE
Structure: optimized geometry

Cell and atoms, written as extended XYZ:
```
11
Lattice="6.794 -2.089 0.000 6.794 2.089 0.000 -1.219 0.000 7.161" Properties=species:S:1:pos:R:3 pbc="T T T"
Np 3.033 0.000 1.780
Np 9.336 0.000 5.382
Ag -0.609 0.000 3.581
F 0.909 0.000 1.700
F 2.416 0.000 4.156
F 2.663 0.000 6.652
F 5.098 0.000 2.377
F 7.271 0.000 4.784
F 9.706 0.000 0.509
F 9.953 0.000 3.006
F 11.460 0.000 5.461
```

## Properties
N(E_F) = 10.09 states/eV/cell
M_tot = 0.636 μB/atom


The least stable of them is 2.


1.
Compound: NpAgF6
Source: Alexandria via LeMat-Bulk
Functional: GGA-PBE
Structure: optimized geometry

Cell and atoms, written as extended XYZ:
```
8
Lattice="0.000 4.507 4.507 4.507 0.000 4.507 4.507 4.507 0.000" Properties=species:S:1:pos:R:3 pbc="T T T"
Np 0.000 0.000 0.000
Ag 4.507 4.507 4.507
F 4.507 4.507 2.088
F 4.507 2.088 4.507
F 6.927 4.507 4.507
F 2.088 4.507 4.507
F 4.507 6.927 4.507
F 4.507 4.507 6.927
```

## Properties
N(E_F) = 8.27 states/eV/cell
M_tot = 0.250 μB/atom


2.
Compound: NpAgF6
Source: Alexandria via LeMat-Bulk
Functional: GGA-PBE
Structure: optimized geometry

Cell and atoms, written as extended XYZ:
```
16
Lattice="5.729 0.000 0.000 -2.864 4.961 0.000 0.000 0.000 11.058" Properties=species:S:1:pos:R:3 pbc="T T T"
Np 0.000 0.000 0.000
Np 0.000 0.000 5.529
Ag 0.000 3.308 2.764
Ag 2.864 1.654 8.293
F -0.688 1.546 1.223
F -1.869 3.592 4.306
F 0.688 1.546 4.306
F -1.181 4.784 1.223
F 1.683 0.177 6.752
F 0.995 1.369 9.835
F 1.869 3.592 1.223
F 1.181 4.784 4.306
F 4.045 0.177 9.835
F 2.176 3.415 6.752
F 4.734 1.369 6.752
F 3.553 3.415 9.835
```

## Properties
N(E_F) = 16.41 states/eV/cell
M_tot = 0.250 μB/atom


The least stable of them is 2.


1.
Compound: Ag4OF2
Source: Alexandria via LeMat-Bulk
Functional: GGA-PBE
Structure: optimized geometry

Cell and atoms, written as extended XYZ:
```
14
Lattice="13.128 0.000 0.000 0.000 3.140 0.000 -2.409 0.000 5.138" Properties=species:S:1:pos:R:3 pbc="T T T"
Ag 0.267 0.000 2.274
Ag -0.767 1.570 4.606
Ag 4.922 0.000 0.532
Ag 3.888 1.570 2.865
Ag 6.831 1.570 2.274
Ag 5.797 0.000 4.606
Ag 11.486 1.570 0.532
Ag 10.452 0.000 2.865
O 0.000 0.000 0.000
O 6.564 1.570 0.000
F 1.429 1.570 3.799
F 2.726 0.000 1.339
F 7.993 0.000 3.799
F 9.290 1.570 1.339
```

## Properties
N(E_F) = 2.84 states/eV/cell
M_tot = 0.003 μB/atom


2.
Compound: Ag4OF2
Source: Alexandria via LeMat-Bulk
Functional: GGA-PBE
Structure: optimized geometry

Cell and atoms, written as extended XYZ:
```
14
Lattice="4.529 0.000 0.000 0.000 4.529 0.000 0.000 0.000 11.720" Properties=species:S:1:pos:R:3 pbc="T T T"
Ag 0.000 0.000 2.192
Ag 0.000 0.000 9.528
Ag 0.000 2.265 0.000
Ag 0.000 2.265 5.860
Ag 2.265 0.000 0.000
Ag 2.265 0.000 5.860
Ag 2.265 2.265 3.668
Ag 2.265 2.265 8.051
O 0.000 0.000 0.000
O 2.265 2.265 5.860
F 0.000 0.000 4.314
F 0.000 0.000 7.406
F 2.265 2.265 1.546
F 2.265 2.265 10.174
```

## Properties
N(E_F) = 2.98 states/eV/cell
M_tot = 0.000 μB/atom


3.
Compound: Ag4OF2
Source: Alexandria via LeMat-Bulk
Functional: GGA-PBE
Structure: optimized geometry

Cell and atoms, written as extended XYZ:
```
14
Lattice="6.288 0.000 0.000 0.000 6.288 0.000 0.000 0.000 5.430" Properties=species:S:1:pos:R:3 pbc="T T T"
Ag 1.077 1.077 1.028
Ag 1.077 5.211 4.402
Ag 2.067 2.067 3.743
Ag 2.067 4.221 1.687
Ag 4.221 2.067 1.687
Ag 4.221 4.221 3.743
Ag 5.211 1.077 4.402
Ag 5.211 5.211 1.028
O 0.000 0.000 2.715
O 3.144 3.144 0.000
F 0.000 3.144 1.357
F 0.000 3.144 4.072
F 3.144 0.000 1.357
F 3.144 0.000 4.072
```

## Properties
N(E_F) = 6.54 states/eV/cell
M_tot = 0.000 μB/atom


The least stable of them is 3.


1.
Compound: Ag3OF2
Source: Alexandria via LeMat-Bulk
Functional: GGA-PBE
Structure: optimized geometry

Cell and atoms, written as extended XYZ:
```
12
Lattice="5.570 -2.510 0.000 5.570 2.510 0.000 -1.949 0.000 6.309" Properties=species:S:1:pos:R:3 pbc="T T T"
Ag 4.109 2.507 4.732
Ag 3.106 0.001 2.695
Ag 2.132 -0.001 5.849
Ag 7.060 0.001 0.460
Ag 6.085 -0.001 3.615
Ag 5.083 -2.507 1.577
O 5.083 0.003 1.577
O 4.109 -0.003 4.732
F 2.000 0.001 0.624
F 1.026 -0.001 3.779
F 8.166 0.001 2.530
F 7.192 -0.001 5.685
```

## Properties
N(E_F) = 6.73 states/eV/cell
M_tot = 0.000 μB/atom


2.
Compound: Ag3OF2
Source: Alexandria via LeMat-Bulk
Functional: GGA-PBE
Structure: optimized geometry

Cell and atoms, written as extended XYZ:
```
24
Lattice="4.698 0.000 0.000 0.000 11.121 0.000 -0.009 0.000 6.723" Properties=species:S:1:pos:R:3 pbc="T T T"
Ag 1.169 1.101 0.690
Ag 1.165 4.459 4.052
Ag 1.169 0.507 4.561
Ag 1.173 5.054 1.200
Ag 1.177 8.345 0.810
Ag 1.173 8.336 4.171
Ag 3.516 2.785 2.551
Ag 3.512 2.775 5.913
Ag 3.516 6.067 5.523
Ag 3.520 10.614 2.162
Ag 3.524 6.661 2.671
Ag 3.520 10.020 6.032
O 1.175 6.906 2.501
O 1.171 9.774 5.862
O 3.518 1.346 0.860
O 3.514 4.214 4.222
F 1.168 2.223 3.003
F 1.164 3.338 6.364
F 1.167 6.369 5.718
F 1.171 10.312 2.356
F 3.518 0.809 4.366
F 3.522 4.751 1.005
F 3.526 7.783 0.358
F 3.521 8.898 3.720
```

## Properties
N(E_F) = 15.44 states/eV/cell
M_tot = 0.000 μB/atom


The least stable of them is 1.


1.
Compound: AgOsOF2
Source: Alexandria via LeMat-Bulk
Functional: GGA-PBE
Structure: optimized geometry

Cell and atoms, written as extended XYZ:
```
5
Lattice="4.264 0.000 0.000 0.000 4.264 0.000 0.000 0.000 4.184" Properties=species:S:1:pos:R:3 pbc="T T T"
Ag 0.000 0.000 0.000
Os 2.132 2.132 2.092
O 0.000 0.000 2.092
F 0.000 2.132 0.000
F 2.132 0.000 0.000
```

## Properties
N(E_F) = 5.25 states/eV/cell
M_tot = 0.833 μB/atom


2.
Compound: AgOsOF2
Source: Alexandria via LeMat-Bulk
Functional: GGA-PBE
Structure: optimized geometry

Cell and atoms, written as extended XYZ:
```
5
Lattice="4.418 0.000 0.000 0.000 4.418 0.000 0.000 0.000 3.698" Properties=species:S:1:pos:R:3 pbc="T T T"
Ag 0.000 0.000 0.000
Os 2.209 2.209 1.849
O 2.209 2.209 0.000
F 0.000 2.209 1.849
F 2.209 0.000 1.849
```

## Properties
N(E_F) = 2.42 states/eV/cell
M_tot = 0.000 μB/atom


The least stable of them is 1.


1.
Compound: AgP2OF
Source: Alexandria via LeMat-Bulk
Functional: GGA-PBE
Structure: optimized geometry

Cell and atoms, written as extended XYZ:
```
5
Lattice="4.799 0.000 0.000 0.000 4.799 0.000 0.000 0.000 4.040" Properties=species:S:1:pos:R:3 pbc="T T T"
Ag 0.000 0.000 0.000
P 0.000 2.400 0.000
P 2.400 0.000 0.000
O 0.000 0.000 2.020
F 2.400 2.400 2.020
```

## Properties
N(E_F) = 4.60 states/eV/cell
M_tot = 0.098 μB/atom


2.
Compound: AgP2OF
Source: Alexandria via LeMat-Bulk
Functional: GGA-PBE
Structure: optimized geometry

Cell and atoms, written as extended XYZ:
```
5
Lattice="4.047 0.000 0.000 0.000 4.047 0.000 0.000 0.000 4.540" Properties=species:S:1:pos:R:3 pbc="T T T"
Ag 0.000 0.000 0.000
P 0.000 2.024 2.270
P 2.024 0.000 2.270
O 2.024 2.024 0.000
F 2.024 2.024 2.270
```

## Properties
N(E_F) = 4.37 states/eV/cell
M_tot = 0.000 μB/atom


The least stable of them is 1.


1.
Compound: AgPtOF2
Source: Alexandria via LeMat-Bulk
Functional: GGA-PBE
Structure: optimized geometry

Cell and atoms, written as extended XYZ:
```
5
Lattice="4.153 0.000 0.000 0.000 4.153 0.000 0.000 0.000 4.308" Properties=species:S:1:pos:R:3 pbc="T T T"
Ag 0.000 0.000 0.000
Pt 2.076 2.076 2.154
O 0.000 0.000 2.154
F 0.000 2.076 0.000
F 2.076 0.000 0.000
```

## Properties
N(E_F) = 4.40 states/eV/cell
M_tot = 0.312 μB/atom


2.
Compound: AgPtOF2
Source: Alexandria via LeMat-Bulk
Functional: GGA-PBE
Structure: optimized geometry

Cell and atoms, written as extended XYZ:
```
5
Lattice="4.442 0.000 0.000 0.000 4.442 0.000 0.000 0.000 3.806" Properties=species:S:1:pos:R:3 pbc="T T T"
Ag 0.000 0.000 0.000
Pt 2.221 2.221 1.903
O 2.221 2.221 0.000
F 0.000 2.221 1.903
F 2.221 0.000 1.903
```

## Properties
N(E_F) = 2.87 states/eV/cell
M_tot = 0.006 μB/atom


The least stable of them is 1.


1.
Compound: ReAgOF2
Source: Alexandria via LeMat-Bulk
Functional: GGA-PBE
Structure: optimized geometry

Cell and atoms, written as extended XYZ:
```
5
Lattice="4.281 0.000 0.000 0.000 4.281 0.000 0.000 0.000 3.798" Properties=species:S:1:pos:R:3 pbc="T T T"
Re 0.000 0.000 0.000
Ag 2.141 2.141 1.899
O 0.000 0.000 1.899
F 0.000 2.141 0.000
F 2.141 0.000 0.000
```

## Properties
N(E_F) = 2.65 states/eV/cell
M_tot = 0.000 μB/atom


2.
Compound: ReAgOF2
Source: Alexandria via LeMat-Bulk
Functional: GGA-PBE
Structure: optimized geometry

Cell and atoms, written as extended XYZ:
```
5
Lattice="4.261 0.000 0.000 0.000 4.261 0.000 0.000 0.000 4.273" Properties=species:S:1:pos:R:3 pbc="T T T"
Re 0.000 0.000 0.000
Ag 2.130 2.130 2.136
O 2.130 2.130 0.000
F 0.000 2.130 2.136
F 2.130 0.000 2.136
```

## Properties
N(E_F) = 1.66 states/eV/cell
M_tot = 1.024 μB/atom


The least stable of them is 2.


1.
Compound: AgS2O6F2
Source: Alexandria via LeMat-Bulk
Functional: GGA-PBE
Structure: optimized geometry

Cell and atoms, written as extended XYZ:
```
44
Lattice="10.539 0.000 0.000 0.000 8.005 0.000 -3.631 0.000 8.430" Properties=species:S:1:pos:R:3 pbc="T T T"
Ag 0.000 0.000 0.000
Ag -1.815 4.003 4.215
Ag 3.454 0.000 4.215
Ag 5.270 4.003 0.000
S 0.326 1.734 2.801
S -1.489 2.268 7.017
S 2.916 5.890 1.726
S 1.101 6.118 5.941
S 5.808 1.887 2.489
S 3.993 2.116 6.704
S 8.398 5.737 1.414
S 6.582 6.271 5.629
O -0.351 1.597 1.501
O -2.167 2.406 5.717
O -1.798 0.988 7.662
O 0.017 3.015 3.446
O -0.188 5.523 5.726
O 1.628 6.485 1.511
O 1.722 1.392 2.829
O -0.094 2.610 7.044
O 3.536 5.332 0.522
O 1.720 6.676 4.737
O 2.072 5.327 6.722
O 3.887 6.680 2.507
O 3.021 1.325 5.923
O 4.837 2.678 1.708
O 5.188 1.329 3.693
O 3.373 2.673 7.908
O 7.002 5.395 1.386
O 5.187 6.613 5.601
O 5.281 1.520 6.920
O 7.096 2.482 2.704
O 6.891 4.990 4.984
O 8.707 7.018 0.769
O 9.075 5.600 2.714
O 7.260 6.408 6.929
F -0.408 0.654 3.718
F -2.223 3.349 7.933
F 2.646 4.619 2.645
F 0.831 7.389 6.860
F 6.078 0.616 1.570
F 4.262 3.387 5.786
F 9.132 4.656 0.497
F 7.317 7.351 4.713
```

## Properties
N(E_F) = 2.79 states/eV/cell
M_tot = 0.094 μB/atom


2.
Compound: AgS2O6F2
Source: Alexandria via LeMat-Bulk
Functional: GGA-PBE
Structure: optimized geometry

Cell and atoms, written as extended XYZ:
```
11
Lattice="5.279 0.000 0.000 -2.640 4.572 0.000 0.000 0.000 7.321" Properties=species:S:1:pos:R:3 pbc="T T T"
Ag 0.000 0.000 0.000
S 0.000 3.048 5.634
S 2.640 1.524 1.687
O -1.416 3.077 5.983
O 0.682 1.807 5.983
O 1.906 0.313 1.338
O 0.733 4.259 5.983
O 1.957 2.765 1.338
O 4.055 1.494 1.338
F 0.000 3.048 4.045
F 2.640 1.524 3.276
```

## Properties
N(E_F) = 5.11 states/eV/cell
M_tot = 0.040 μB/atom


The least stable of them is 2.


1.
Compound: SiAgOF2
Source: Alexandria via LeMat-Bulk
Functional: GGA-PBE
Structure: optimized geometry

Cell and atoms, written as extended XYZ:
```
5
Lattice="4.249 0.000 0.000 0.000 4.249 0.000 0.000 0.000 4.213" Properties=species:S:1:pos:R:3 pbc="T T T"
Si 0.000 0.000 0.000
Ag 2.125 2.125 2.106
O 2.125 2.125 0.000
F 0.000 2.125 2.106
F 2.125 0.000 2.106
```

## Properties
N(E_F) = 1.53 states/eV/cell
M_tot = 0.000 μB/atom


2.
Compound: SiAgOF2
Source: Alexandria via LeMat-Bulk
Functional: GGA-PBE
Structure: optimized geometry

Cell and atoms, written as extended XYZ:
```
5
Lattice="4.240 0.000 0.000 0.000 4.240 0.000 0.000 0.000 3.453" Properties=species:S:1:pos:R:3 pbc="T T T"
Si 0.000 0.000 0.000
Ag 2.120 2.120 1.726
O 0.000 0.000 1.726
F 0.000 2.120 0.000
F 2.120 0.000 0.000
```

## Properties
N(E_F) = 0.87 states/eV/cell
M_tot = 0.000 μB/atom


The least stable of them is 1.


1.
Compound: TaAgOF2
Source: Alexandria via LeMat-Bulk
Functional: GGA-PBE
Structure: optimized geometry

Cell and atoms, written as extended XYZ:
```
5
Lattice="4.306 0.000 0.000 0.000 4.306 0.000 0.000 0.000 3.924" Properties=species:S:1:pos:R:3 pbc="T T T"
Ta 0.000 0.000 0.000
Ag 2.153 2.153 1.962
O 0.000 0.000 1.962
F 0.000 2.153 0.000
F 2.153 0.000 0.000
```

## Properties
N(E_F) = 2.26 states/eV/cell
M_tot = 0.262 μB/atom


2.
Compound: TaAgOF2
Source: Alexandria via LeMat-Bulk
Functional: GGA-PBE
Structure: optimized geometry

Cell and atoms, written as extended XYZ:
```
5
Lattice="4.276 0.000 0.000 0.000 4.276 0.000 0.000 0.000 4.183" Properties=species:S:1:pos:R:3 pbc="T T T"
Ta 0.000 0.000 0.000
Ag 2.138 2.138 2.091
O 2.138 2.138 0.000
F 0.000 2.138 2.091
F 2.138 0.000 2.091
```

## Properties
N(E_F) = 5.67 states/eV/cell
M_tot = 0.557 μB/atom


The least stable of them is 2.